[1]
The following is a PBE-GGA calculation of an optimized crystal structure of Ce7Bi2Pt2, from Alexandria.

Output
V ... 30.4 Å³ per atom
Fermi-level density of states ... 34.20 states/eV per cell
Crystal system ... orthorhombic

Cell lengths 7.250, 6.650, 7.250 Å; angles 90.00, 106.83, 90.00 degrees
Fractional positions:
Ce 0.500 0.717 0.000
Ce 0.000 0.283 0.500
Ce 0.500 0.283 0.000
Ce 0.500 0.793 0.500
Ce 0.500 0.207 0.500
Ce 0.000 0.717 0.500
Ce 0.000 0.000 0.000
Bi 0.190 0.500 0.190
Bi 0.810 0.500 0.810
Pt 0.738 0.000 0.262
Pt 0.262 0.000 0.738

---

[2]
The following is a PBE-GGA calculation of an optimized crystal structure of Ce5Bi2Pt, from Alexandria.

Output
Energy relative to the lowest polymorph listed for this composition ... 0.0 kJ/mol of atoms
V ... 29.9 Å³ per atom
Fermi-level density of states ... 58.52 states/eV per cell
Crystal system ... orthorhombic

Cell lengths 4.704, 8.075, 12.607 Å; angles 90.00, 90.00, 90.00 degrees
Fractional positions:
Ce 0.000 0.000 0.500
Ce 0.000 0.367 0.295
Ce 0.500 0.795 0.941
Ce 0.000 0.633 0.705
Ce 0.500 0.705 0.441
Ce 0.500 0.205 0.059
Ce 0.000 0.500 0.000
Ce 0.000 0.867 0.205
Ce 0.500 0.295 0.559
Ce 0.000 0.133 0.795
Pt 0.000 0.000 0.000
Pt 0.000 0.500 0.500
Bi 0.500 0.914 0.677
Bi 0.500 0.586 0.177
Bi 0.500 0.414 0.823
Bi 0.500 0.086 0.323

---

Number 1: E_tot -0.446 Ry/atom, ΔH_f (0 K) -0.48 eV/atom. Number 2: E_tot -0.448 Ry/atom, ΔH_f (0 K) -0.66 eV/atom.